Entry 1:
{
  "formula": "Pm4YTh",
  "functional": "PBE",
  "state": "relaxed",
  "lattice_angstrom": [[7.880, -1.823, 0.000], [7.880, 1.823, 0.000], [-1.656, 0.000, 7.035]],
  "species": ["Pm", "Pm", "Pm", "Pm", "Y", "Th"],
  "frac_coords": [[0.162, 0.162, 0.336], [0.163, 0.163, 0.827], [0.837, 0.837, 0.173], [0.838, 0.838, 0.664], [0.500, 0.500, 0.000], [0.500, 0.500, 0.500]],
  "relative_energy_ev_per_atom": 0.000,
  "formation_energy_ev_per_atom": 0.025,
  "crystal_system": "monoclinic"
}

---

Entry 2:
{
  "formula": "Pm3YTh",
  "functional": "PBE",
  "state": "relaxed",
  "lattice_angstrom": [[4.833, -6.493, 0.000], [4.833, 6.493, 0.000], [-4.373, 0.000, 10.857]],
  "species": ["Pm", "Pm", "Pm", "Pm", "Pm", "Pm", "Pm", "Pm", "Pm", "Pm", "Pm", "Pm", "Y", "Y", "Y", "Y", "Th", "Th", "Th", "Th"],
  "frac_coords": [[0.046, 0.184, 0.639], [0.101, 0.694, 0.838], [0.184, 0.046, 0.139], [0.194, 0.475, 0.447], [0.306, 0.899, 0.662], [0.475, 0.194, 0.947], [0.525, 0.806, 0.053], [0.694, 0.101, 0.338], [0.806, 0.525, 0.553], [0.816, 0.954, 0.861], [0.899, 0.306, 0.162], [0.954, 0.816, 0.361], [0.168, 0.389, 0.975], [0.389, 0.168, 0.475], [0.611, 0.832, 0.525], [0.832, 0.611, 0.025], [0.273, 0.727, 0.250], [0.467, 0.533, 0.750], [0.533, 0.467, 0.250], [0.727, 0.273, 0.750]],
  "relative_energy_ev_per_atom": 0.007,
  "formation_energy_ev_per_atom": 0.164,
  "crystal_system": "monoclinic"
}

---

Entry 3:
{
  "formula": "PmY6Th3",
  "functional": "PBE",
  "state": "relaxed",
  "lattice_angstrom": [[5.452, -9.502, 0.000], [5.452, 9.502, 0.000], [0.000, 0.000, 6.399]],
  "species": ["Pm", "Pm", "Y", "Y", "Y", "Y", "Y", "Y", "Y", "Y", "Y", "Y", "Y", "Y", "Th", "Th", "Th", "Th", "Th", "Th"],
  "frac_coords": [[0.194, 0.806, 0.500], [0.806, 0.194, 0.000], [0.037, 0.963, 0.236], [0.058, 0.469, 0.755], [0.261, 0.739, 0.017], [0.292, 0.372, 0.925], [0.372, 0.292, 0.425], [0.469, 0.058, 0.255], [0.531, 0.942, 0.755], [0.628, 0.708, 0.925], [0.708, 0.628, 0.425], [0.739, 0.261, 0.517], [0.942, 0.531, 0.255], [0.963, 0.037, 0.736], [0.060, 0.292, 0.336], [0.292, 0.060, 0.836], [0.383, 0.617, 0.424], [0.617, 0.383, 0.924], [0.708, 0.940, 0.336], [0.940, 0.708, 0.836]],
  "relative_energy_ev_per_atom": 0.095,
  "formation_energy_ev_per_atom": 0.201,
  "crystal_system": "orthorhombic"
}

---

Entry 4:
{
  "formula": "Pm10Y6Th",
  "functional": "PBE",
  "state": "relaxed",
  "lattice_angstrom": [[9.819, 0.000, 0.000], [-4.909, 8.504, 0.000], [0.000, 0.000, 6.966]],
  "species": ["Pm", "Pm", "Pm", "Pm", "Pm", "Pm", "Pm", "Pm", "Pm", "Pm", "Y", "Y", "Y", "Y", "Y", "Y", "Th"],
  "frac_coords": [[0.000, 0.277, 0.323], [0.000, 0.723, 0.677], [0.277, 0.000, 0.323], [0.277, 0.277, 0.677], [0.333, 0.667, 0.000], [0.333, 0.667, 0.500], [0.667, 0.333, 0.000], [0.667, 0.333, 0.500], [0.723, 0.000, 0.677], [0.723, 0.723, 0.323], [0.000, 0.365, 0.816], [0.000, 0.635, 0.184], [0.365, 0.000, 0.816], [0.365, 0.365, 0.184], [0.635, 0.000, 0.184], [0.635, 0.635, 0.816], [0.000, 0.000, 0.000]],
  "formation_energy_ev_per_atom": 0.152,
  "crystal_system": "trigonal"
}

---

Entry 5:
{
  "formula": "PmY2Th",
  "functional": "PBE",
  "state": "relaxed",
  "lattice_angstrom": [[0.000, 4.045, 4.045], [4.045, 0.000, 4.045], [4.045, 4.045, 0.000]],
  "species": ["Pm", "Y", "Y", "Th"],
  "frac_coords": [[0.000, 0.000, 0.000], [0.250, 0.250, 0.250], [0.750, 0.750, 0.750], [0.500, 0.500, 0.500]],
  "relative_energy_ev_per_atom": 0.139,
  "formation_energy_ev_per_atom": 0.137,
  "crystal_system": "cubic"
}

---

Entry 6:
{
  "formula": "Pm7Y16Th6",
  "functional": "PBE",
  "state": "relaxed",
  "lattice_angstrom": [[0.000, 7.900, 7.900], [7.900, 0.000, 7.900], [7.900, 7.900, 0.000]],
  "species": ["Pm", "Pm", "Pm", "Pm", "Pm", "Pm", "Pm", "Y", "Y", "Y", "Y", "Y", "Y", "Y", "Y", "Y", "Y", "Y", "Y", "Y", "Y", "Y", "Y", "Th", "Th", "Th", "Th", "Th", "Th"],
  "frac_coords": [[0.000, 0.000, 0.000], [0.000, 0.000, 0.500], [0.000, 0.500, 0.000], [0.000, 0.500, 0.500], [0.500, 0.000, 0.000], [0.500, 0.000, 0.500], [0.500, 0.500, 0.000], [0.025, 0.658, 0.658], [0.121, 0.121, 0.121], [0.121, 0.121, 0.637], [0.121, 0.637, 0.121], [0.342, 0.342, 0.342], [0.342, 0.342, 0.975], [0.342, 0.975, 0.342], [0.363, 0.879, 0.879], [0.637, 0.121, 0.121], [0.658, 0.025, 0.658], [0.658, 0.658, 0.025], [0.658, 0.658, 0.658], [0.879, 0.363, 0.879], [0.879, 0.879, 0.363], [0.879, 0.879, 0.879], [0.975, 0.342, 0.342], [0.332, 0.332, 0.668], [0.332, 0.668, 0.332], [0.332, 0.668, 0.668], [0.668, 0.332, 0.332], [0.668, 0.332, 0.668], [0.668, 0.668, 0.332]],
  "formation_energy_ev_per_atom": 0.330,
  "crystal_system": "cubic"
}

---

What calculated volume values result from the calculations? In sequence: 202 681 663 582 132 986 Å³ per cell.
What D(E_F) values result from the calculations? In sequence: 9.0 34.0 28.0 27.4 8.5 56.8 states/eV per cell.